The following is a DFT calculation (GGA-PBE) of a geometry-optimized LaBeP4 structure.

Values from the calculation:
**Density**: 4247 kg/m³
**Magnetic moment**: 0.00 μB per cell
**ΔE_f**: 0.101 eV/atom

Unit cell a=7.519 b=7.519 c=7.519 alpha=90.00 beta=90.00 gamma=90.00
Space group F-43m (No. 216)
One atom of each set of equivalent atoms:
La1 0.000 0.000 0.000
Be1 0.250 0.250 0.250
P1 0.112 0.112 0.612

=====

The following is a DFT calculation (GGA-PBE) of a geometry-optimized LaBeP2 structure.

Values from the calculation:
**Density**: 4654 kg/m³
**Magnetic moment**: 0.00 μB per cell
**ΔE_f**: -0.241 eV/atom

Unit cell a=6.292 b=6.107 c=3.898 alpha=90.00 beta=90.12 gamma=90.00
Space group C2/m (No. 12)
One atom of each set of equivalent atoms:
La1 0.000 0.000 0.000
Be1 0.000 0.500 0.000
P1 0.250 0.250 0.500

=====

The following is a DFT calculation (GGA-PBE) of a geometry-optimized LaBeP2 structure.

Values from the calculation:
**Density**: 4607 kg/m³
**Magnetic moment**: 0.00 μB per cell
**ΔE_f**: -0.066 eV/atom

Unit cell a=4.235 b=4.235 c=8.434 alpha=90.00 beta=90.00 gamma=90.00
Space group I4/mmm (No. 139)
One atom of each set of equivalent atoms:
La1 0.000 0.000 0.000
Be1 0.000 0.000 0.500
P1 0.000 0.500 0.250

=====

The following is a DFT calculation (GGA-PBE) of a geometry-optimized La2BePPd6 structure.

Values from the calculation:
**Density**: 8509 kg/m³
**Magnetic moment**: 0.00 μB per cell
**ΔE_f**: -0.731 eV/atom

Unit cell a=5.946 b=5.955 c=6.960 alpha=65.08 beta=64.89 gamma=60.25
Space group P-1 (No. 2)
One atom of each set of equivalent atoms:
La1 0.230 0.232 0.305
Be1 0.000 0.000 0.000
P1 0.500 0.500 0.500
Pd1 0.243 0.240 0.797
Pd2 0.244 0.715 0.801
Pd3 0.280 0.758 0.203

=====

The following is a DFT calculation (GGA-PBE) of a geometry-optimized La2BePPt6 structure.

Values from the calculation:
**Density**: 12802 kg/m³
**Magnetic moment**: 0.00 μB per cell
**ΔE_f**: -0.904 eV/atom

Unit cell a=11.666 b=5.608 c=7.758 alpha=90.00 beta=130.48 gamma=90.00
Space group C2/m (No. 12)
One atom of each set of equivalent atoms:
La1 0.239 0.000 0.199
Be1 0.000 0.500 0.000
P1 0.000 0.000 0.500
Pt1 0.010 0.255 0.263
Pt2 0.245 0.500 0.353

=====

The following is a DFT calculation (GGA-PBE) of a geometry-optimized La2PuBe2P4 structure.

Values from the calculation:
**Density**: 6130 kg/m³
**Magnetic moment**: 11.03 μB per cell
**ΔE_f**: -0.980 eV/atom

Unit cell a=14.612 b=3.857 c=6.824 alpha=90.00 beta=110.76 gamma=90.00
Space group C2/m (No. 12)
One atom of each set of equivalent atoms:
La1 0.135 0.000 0.069
Pu1 0.000 0.000 0.500
Be1 0.177 0.500 0.490
P1 0.029 0.500 0.241
P2 0.208 0.000 0.679

=====

The following is a DFT calculation (GGA-PBE) of a geometry-optimized LaBeP2S structure.

Values from the calculation:
**Energy relative to the elements, uncorrected**: 1.066 eV per atom
**Density**: 2340 kg/m³
**Magnetic moment**: 1.64 μB per cell
**Polymorph energy (0 for the lowest one)**: 1620.6 meV/atom

Unit cell a=5.644 b=5.644 c=5.389 alpha=90.00 beta=90.00 gamma=90.00
Space group P4/mmm (No. 123)
One atom of each set of equivalent atoms:
La1 0.000 0.000 0.000
Be1 0.500 0.500 0.500
P1 0.000 0.500 0.000
S1 0.000 0.000 0.500

=====

The following is a DFT calculation (GGA-PBE) of a geometry-optimized LaBeP2S structure.

Values from the calculation:
**Energy relative to the elements, uncorrected**: -0.555 eV per atom
**Density**: 4247 kg/m³
**Magnetic moment**: 0.00 μB per cell
**Polymorph energy (0 for the lowest one)**: 0.0 meV/atom

Unit cell a=4.180 b=4.180 c=5.415 alpha=90.00 beta=90.00 gamma=90.00
Space group P4/mmm (No. 123)
One atom of each set of equivalent atoms:
La1 0.000 0.000 0.000
Be1 0.500 0.500 0.500
P1 0.000 0.500 0.500
S1 0.500 0.500 0.000

=====

The following is a DFT calculation (GGA-PBE) of a geometry-optimized LaBe2PS structure.

Values from the calculation:
**Energy relative to the elements, uncorrected**: -0.080 eV per atom
**Density**: 3721 kg/m³
**Magnetic moment**: 0.00 μB per cell

Unit cell a=4.170 b=4.170 c=5.643 alpha=90.00 beta=90.00 gamma=90.00
Space group P4/mmm (No. 123)
One atom of each set of equivalent atoms:
La1 0.000 0.000 0.000
Be1 0.000 0.500 0.500
P1 0.500 0.500 0.000
S1 0.000 0.000 0.500

=====

The following is a DFT calculation (GGA-PBE) of a geometry-optimized LaBe2PSe structure.

Values from the calculation:
**Energy relative to the elements, uncorrected**: 0.244 eV per atom
**Density**: 4383 kg/m³
**Magnetic moment**: 0.00 μB per cell

Unit cell a=4.404 b=4.404 c=5.213 alpha=90.00 beta=90.00 gamma=90.00
Space group P4/mmm (No. 123)
One atom of each set of equivalent atoms:
La1 0.000 0.000 0.000
Be1 0.000 0.500 0.500
P1 0.500 0.500 0.000
Se1 0.500 0.500 0.500

=====

The following is a DFT calculation (GGA-PBE) of a geometry-optimized LaPaBe structure.

Values from the calculation:
**Density**: 9158 kg/m³
**Magnetic moment**: 0.00 μB per cell
**ΔE_f**: 0.298 eV/atom

Unit cell a=5.747 b=9.272 c=20.634 alpha=90.00 beta=90.00 gamma=90.00
Space group Fddd (No. 70, origin choice 2)
One atom of each set of equivalent atoms:
La1 0.125 0.304 0.125
Pa1 0.125 0.125 0.537
Be1 0.125 0.125 0.002

=====

The following is a DFT calculation (GGA-PBE) of a geometry-optimized LaBePb structure.

Values from the calculation:
**Density**: 6244 kg/m³
**Magnetic moment**: 0.00 μB per cell
**ΔE_f**: 0.497 eV/atom
**Polymorph energy (0 for the lowest one)**: 775.2 meV/atom

Unit cell a=7.229 b=7.229 c=7.229 alpha=90.00 beta=90.00 gamma=90.00
Space group F-43m (No. 216)
One atom of each set of equivalent atoms:
La1 0.000 0.000 0.000
Be1 0.250 0.250 0.750
Pb1 0.250 0.250 0.250

=====

The following is a DFT calculation (GGA-PBE) of a geometry-optimized LaBePb2 structure.

Values from the calculation:
**Density**: 8713 kg/m³
**Magnetic moment**: 0.00 μB per cell
**ΔE_f**: 0.041 eV/atom

Unit cell a=4.6868 b=4.6868 c=16.9000 alpha=90.00 beta=90.00 gamma=120.00
Space group R-3m (No. 166, hexagonal axes)
One atom of each set of equivalent atoms:
La1 0.0000 0.0000 0.0000
Be1 0.0000 0.0000 0.5000
Pb1 0.0000 0.0000 0.2222

=====

The following is a DFT calculation (GGA-PBE) of a geometry-optimized LaBe3Pb structure.

Values from the calculation:
**Density**: 4617 kg/m³
**Magnetic moment**: 0.00 μB per cell
**ΔE_f**: 1.685 eV/atom
**Polymorph energy (0 for the lowest one)**: 816.8 meV/atom

Unit cell a=5.120 b=5.120 c=5.120 alpha=90.00 beta=90.00 gamma=90.00
Space group Pm-3m (No. 221)
One atom of each set of equivalent atoms:
La1 0.000 0.000 0.000
Be1 0.000 0.000 0.500
Pb1 0.500 0.500 0.500

=====

The following is a DFT calculation (GGA-PBE) of a geometry-optimized LaBePb2 structure.

Values from the calculation:
**Density**: 8697 kg/m³
**Magnetic moment**: 0.00 μB per cell
**ΔE_f**: 0.085 eV/atom

Unit cell a=4.535 b=6.236 c=7.593 alpha=90.00 beta=90.00 gamma=90.00
Space group Cmmm (No. 65)
One atom of each set of equivalent atoms:
La1 0.000 0.000 0.000
Be1 0.000 0.000 0.500
Pb1 0.000 0.500 0.298

=====

The following is a DFT calculation (GGA-PBE) of a geometry-optimized LaBe2Pb structure.

Values from the calculation:
**Density**: 7048 kg/m³
**Magnetic moment**: 0.00 μB per cell
**ΔE_f**: 0.325 eV/atom

Unit cell a=4.548 b=4.548 c=4.147 alpha=90.00 beta=90.00 gamma=90.00
Space group P4/mmm (No. 123)
One atom of each set of equivalent atoms:
La1 0.000 0.000 0.000
Be1 0.000 0.500 0.500
Pb1 0.500 0.500 0.000

=====

The following is a DFT calculation (GGA-PBE) of a geometry-optimized LaBePb4 structure.

Values from the calculation:
**Density**: 8672 kg/m³
**Magnetic moment**: 0.00 μB per cell
**ΔE_f**: 0.313 eV/atom

Unit cell a=9.078 b=9.078 c=9.078 alpha=90.00 beta=90.00 gamma=90.00
Space group F-43m (No. 216)
One atom of each set of equivalent atoms:
La1 0.000 0.000 0.000
Be1 0.250 0.250 0.250
Pb1 0.126 0.126 0.626

=====

The following is a DFT calculation (GGA-PBE) of a geometry-optimized LaBePb2 structure.

Values from the calculation:
**Density**: 8211 kg/m³
**Magnetic moment**: 0.00 μB per cell
**ΔE_f**: 0.222 eV/atom

Unit cell a=6.497 b=11.169 c=3.711 alpha=90.00 beta=122.37 gamma=90.00
Space group C2/m (No. 12)
One atom of each set of equivalent atoms:
La1 0.000 0.000 0.000
Be1 0.000 0.500 0.000
Pb1 0.250 0.250 0.500

=====

The following is a DFT calculation (GGA-PBE) of a geometry-optimized La2BePb structure.

Values from the calculation:
**Density**: 7508 kg/m³
**Magnetic moment**: 0.00 μB per cell
**ΔE_f**: 0.359 eV/atom
**Polymorph energy (0 for the lowest one)**: 544.0 meV/atom

Unit cell a=7.589 b=7.589 c=7.589 alpha=90.00 beta=90.00 gamma=90.00
Space group F-43m (No. 216)
One atom of each set of equivalent atoms:
La1 0.000 0.000 0.000
La2 0.250 0.250 0.250
Be1 0.250 0.250 0.750
Pb1 0.000 0.000 0.500

=====

The following is a DFT calculation (GGA-PBE) of a geometry-optimized LaBePb2 structure.

Values from the calculation:
**Density**: 8540 kg/m³
**Magnetic moment**: 0.00 μB per cell
**ΔE_f**: 0.018 eV/atom

Unit cell a=5.028 b=4.226 c=5.432 alpha=90.00 beta=108.65 gamma=90.00
Space group P2/m (No. 10)
One atom of each set of equivalent atoms:
La1 0.000 0.000 0.000
Be1 0.500 0.000 0.500
Pb1 0.328 0.500 0.695

=====

The following is a DFT calculation (GGA-PBE) of a geometry-optimized La3BePb structure.

Values from the calculation:
**Density**: 6495 kg/m³
**Magnetic moment**: 0.00 μB per cell
**ΔE_f**: -0.041 eV/atom
**Polymorph energy (0 for the lowest one)**: 0.0 meV/atom

Unit cell a=5.449 b=5.449 c=5.449 alpha=90.00 beta=90.00 gamma=90.00
Space group Pm-3m (No. 221)
One atom of each set of equivalent atoms:
La1 0.000 0.000 0.500
Be1 0.000 0.000 0.000
Pb1 0.500 0.500 0.500

=====

The following is a DFT calculation (GGA-PBE) of a geometry-optimized LaBe2Pb structure.

Values from the calculation:
**Density**: 7192 kg/m³
**Magnetic moment**: 0.00 μB per cell
**ΔE_f**: 0.043 eV/atom

Unit cell a=4.076 b=3.954 c=5.595 alpha=90.00 beta=111.19 gamma=90.00
Space group Pm (No. 6)
One atom of each set of equivalent atoms:
La1 0.000 0.000 0.000
Be1 0.630 0.500 0.261
Be2 0.697 0.000 0.397
Pb1 0.285 0.500 0.574

=====

The following is a DFT calculation (GGA-PBE) of a geometry-optimized LaBePb structure.

Values from the calculation:
**Density**: 7751 kg/m³
**Magnetic moment**: 0.00 μB per cell
**ΔE_f**: -0.122 eV/atom
**Polymorph energy (0 for the lowest one)**: 155.8 meV/atom

Unit cell a=6.726 b=6.726 c=6.726 alpha=90.00 beta=90.00 gamma=90.00
Space group F-43m (No. 216)
One atom of each set of equivalent atoms:
La1 0.000 0.000 0.000
Be1 0.250 0.250 0.750
Pb1 0.000 0.000 0.500

=====

The following is a DFT calculation (GGA-PBE) of a geometry-optimized La2BePb structure.

Values from the calculation:
**Density**: 6328 kg/m³
**Magnetic moment**: 0.00 μB per cell
**ΔE_f**: 0.147 eV/atom
**Polymorph energy (0 for the lowest one)**: 332.1 meV/atom

Unit cell a=3.794 b=5.272 c=6.483 alpha=90.00 beta=90.00 gamma=90.00
Space group Pmm2 (No. 25)
One atom of each set of equivalent atoms:
La1 0.000 0.000 0.000
La2 0.500 0.500 0.497
Be1 0.500 0.500 0.997
Pb1 0.000 0.000 0.501

=====

The following is a DFT calculation (GGA-PBE) of a geometry-optimized LaBePb2 structure.

Values from the calculation:
**Density**: 8716 kg/m³
**Magnetic moment**: 0.00 μB per cell
**ΔE_f**: 0.032 eV/atom

Unit cell a=4.225 b=4.813 c=10.536 alpha=90.00 beta=90.00 gamma=90.00
Space group Imm2 (No. 44)
One atom of each set of equivalent atoms:
La1 0.000 0.000 0.000
Be1 0.000 0.500 0.742
Pb1 0.000 0.000 0.413
Pb2 0.000 0.500 0.214

=====

The following is a DFT calculation (GGA-PBE) of a geometry-optimized La2BePb structure.

Values from the calculation:
**Density**: 7125 kg/m³
**Magnetic moment**: 0.00 μB per cell
**ΔE_f**: 0.132 eV/atom
**Polymorph energy (0 for the lowest one)**: 317.5 meV/atom

Unit cell a=8.501 b=8.501 c=6.372 alpha=90.00 beta=90.00 gamma=90.00
Space group I-42d (No. 122)
One atom of each set of equivalent atoms:
La1 0.207 0.250 0.125
Be1 0.000 0.000 0.000
Pb1 0.000 0.000 0.500

=====

The following is a DFT calculation (GGA-PBE) of a geometry-optimized LaBePb2 structure.

Values from the calculation:
**Density**: 8764 kg/m³
**Magnetic moment**: 0.00 μB per cell
**ΔE_f**: 0.126 eV/atom

Unit cell a=5.269 b=5.479 c=7.381 alpha=90.00 beta=90.00 gamma=90.00
Space group Cmm2 (No. 35)
One atom of each set of equivalent atoms:
La1 0.000 0.000 0.000
Be1 0.000 0.500 0.270
Pb1 0.000 0.000 0.434
Pb2 0.000 0.500 0.692

=====

The following is a DFT calculation (GGA-PBE) of a geometry-optimized LaBePb2 structure.

Values from the calculation:
**Density**: 8504 kg/m³
**Magnetic moment**: 0.00 μB per cell
**ΔE_f**: 0.017 eV/atom

Unit cell a=4.936 b=4.186 c=5.854 alpha=90.00 beta=114.81 gamma=90.00
Space group Pm (No. 6)
One atom of each set of equivalent atoms:
La1 0.000 0.000 0.000
Be1 0.540 0.500 0.080
Pb1 0.295 0.500 0.591
Pb2 0.698 0.000 0.398